i | The following is a GGA-PBE calculation of Na3CoP after structural relaxation, from Alexandria via LeMat-Bulk.

Cell: 5.403 5.403 5.403 Å, 90.00 90.00 90.00°
Fractional positions:
Co1 0.500 0.500 0.500
Na1 0.500 0.000 0.000
Na2 0.000 0.500 0.000
P1 0.000 0.000 0.000
Na3 0.000 0.000 0.500

Calculated values
ρ	1.67	g/cm³
M_tot	3.0	μB/cell
space-group type	Pm-3m (221)

ii | The following is a GGA-PBE calculation of Na3CoP after structural relaxation, from Alexandria via LeMat-Bulk.

Cell: 5.271 5.271 5.271 Å, 90.00 90.00 90.00°
Fractional positions:
Na1 0.000 0.500 0.000
P1 0.500 0.500 0.500
Na2 0.500 0.000 0.000
Co1 0.000 0.000 0.000
Na3 0.000 0.000 0.500

Calculated values
ρ	1.80	g/cm³
M_tot	3.0	μB/cell
space-group type	Pm-3m (221)

Ranking the structures above by stability puts i first and ii last.